(1)
The following is a GGA-PBE calculation of Ce2Er3PuSe6 after structural relaxation, from Alexandria.

Geometry as POSCAR:
```
Ce2Er3PuSe6
1.0
9.0122 -2.0371 0.0000
9.0122 2.0371 0.0000
-2.0881 0.0000 8.0360
Ce Er Pu Se
2 3 1 6
Direct
0.1670 0.1670 0.3346
0.8330 0.8330 0.6654
0.1667 0.1667 0.8341
0.5000 0.5000 0.5000
0.8333 0.8333 0.1659
0.5000 0.5000 0.0000
0.0032 0.0032 0.7455
0.3313 0.3313 0.9252
0.3371 0.3371 0.4072
0.6629 0.6629 0.5928
0.6687 0.6687 0.0748
0.9968 0.9968 0.2545
```

Properties
Uncorrected formation energy (eV/atom): -1.7341
Total moment (μB/f.u.): 8.09
Energy (eV per cell): -81.6



(2)
The following is a GGA-PBE calculation of Ce7Ga5Hg after structural relaxation, from Alexandria.

Geometry as POSCAR:
```
Ce7Ga5Hg
1.0
-2.9728 5.1631 5.2735
2.9728 -5.1631 5.2735
2.9728 5.1631 -5.2735
Ce Ga Hg
7 5 1
Direct
0.0000 0.0000 0.0000
0.0102 0.6817 0.3286
0.3503 0.3503 0.0000
0.3531 0.6817 0.6714
0.4986 0.1673 0.3314
0.8359 0.1673 0.6686
0.8723 0.3723 0.5000
0.1817 0.1800 0.5074
0.1817 0.6743 0.0017
0.4223 0.9223 0.5000
0.6727 0.1800 0.9983
0.6727 0.6743 0.4926
0.6800 0.6800 0.0000
```

Properties
Total moment (μB/f.u.): 4.68
Energy (eV per cell): -61.0
Formation energy (eV per atom): -0.31



(3)
The following is a GGA-PBE calculation of RuSe3S after structural relaxation, from Alexandria.

Geometry as POSCAR:
```
RuSe3S
1.0
4.7945 0.0000 0.0000
0.0000 4.7945 0.0000
0.0000 0.0000 4.7945
Ru Se S
1 3 1
Direct
0.0000 0.0000 0.0000
0.0000 0.5000 0.5000
0.5000 0.0000 0.5000
0.5000 0.5000 0.0000
0.5000 0.5000 0.5000
```

Properties
Uncorrected formation energy (eV/atom): 1.1188
Offset from the most stable computed form (eV per atom): 0.4190
Total moment (μB/f.u.): 3.29
Energy (eV per cell): -18.3



(4)
The following is a GGA-PBE calculation of Ce2TcGe5 after structural relaxation, from Alexandria.

Geometry as POSCAR:
```
Ce2TcGe5
1.0
-3.0841 3.0841 4.4268
3.0841 -3.0841 4.4268
3.0841 3.0841 -4.4268
Ce Tc Ge
2 1 5
Direct
0.0000 0.5000 0.5000
0.5000 0.0000 0.5000
0.2652 0.2652 0.0000
0.5382 0.5382 0.0000
0.5420 0.5420 0.5695
0.5420 0.9725 0.0000
0.9725 0.5420 0.0000
0.9725 0.9725 0.4305
```

Properties
Total moment (μB/f.u.): 1.04
Energy (eV per cell): -48.6
Formation energy (eV per atom): -0.41